*P*
The following is a GGA-PBE calculation of a relaxed MnAlVFeMo crystal, from Alexandria.

Cell: 4.894 4.894 4.894 Å, 50.75 50.75 50.75°
Fractional positions:
Mn 0.000 0.000 0.000
Al 0.204 0.204 0.204
V 0.797 0.797 0.797
Fe 0.605 0.605 0.605
Mo 0.406 0.406 0.406

Summary:
The density of states at the Fermi level is 5.829 states/eV/cell. Its space-group type is No. 160. As for the total magnetization: 1.267 μB/cell.


*Q*
The following is a GGA-PBE calculation of a relaxed MnAlVFeMo crystal, from Alexandria.

Cell: 4.076 4.076 4.869 Å, 90.00 90.00 120.00°
Fractional positions:
Mn 0.000 0.000 0.000
Al 0.667 0.333 0.181
V 0.333 0.667 0.859
Fe 0.333 0.667 0.369
Mo 0.000 0.000 0.528

Summary:
The density of states at the Fermi level is 2.095 states/eV/cell. Its space-group type is No. 156. As for the total magnetization: 0.000 μB/cell.


Most stable structure, least stable structure: *P*, *Q*.


*P*
The following is a GGA-PBE calculation of a relaxed MnAlVFeMo crystal, from Alexandria.

Cell: 4.875 4.875 4.875 Å, 51.65 51.65 51.65°
Fractional positions:
Mn 0.000 0.000 0.000
Al 0.790 0.790 0.790
V 0.190 0.190 0.190
Fe 0.577 0.577 0.577
Mo 0.382 0.382 0.382

Summary:
The density of states at the Fermi level is 3.365 states/eV/cell. Its space-group type is No. 160. As for the total magnetization: 1.598 μB/cell.


*Q*
The following is a GGA-PBE calculation of a relaxed MnAlVFeMo crystal, from Alexandria.

Cell: 4.970 4.970 4.970 Å, 48.91 48.91 48.91°
Fractional positions:
Mn 0.000 0.000 0.000
Al 0.808 0.808 0.808
V 0.595 0.595 0.595
Fe 0.203 0.203 0.203
Mo 0.393 0.393 0.393

Summary:
The density of states at the Fermi level is 3.378 states/eV/cell. Its space-group type is No. 160. As for the total magnetization: 0.000 μB/cell.


*R*
The following is a GGA-PBE calculation of a relaxed MnAlVFeMo crystal, from Alexandria.

Cell: 4.917 4.917 4.917 Å, 49.85 49.85 49.85°
Fractional positions:
Mn 0.000 0.000 0.000
Al 0.793 0.793 0.793
V 0.593 0.593 0.593
Fe 0.394 0.394 0.394
Mo 0.202 0.202 0.202

Summary:
The density of states at the Fermi level is 3.582 states/eV/cell. Its space-group type is No. 160. As for the total magnetization: 0.001 μB/cell.


Most stable structure, least stable structure: *Q*, *R*.


*P*
The following is a GGA-PBE calculation of a relaxed MnAlVFeMo crystal, from Alexandria.

Cell: 4.874 4.874 6.461 Å, 130.80 130.80 35.66°
Fractional positions:
Mn 0.000 0.000 0.000
Al 0.209 0.209 0.836
V 0.392 0.392 0.614
Fe 0.800 0.800 0.228
Mo 0.585 0.585 0.392

Summary:
The density of states at the Fermi level is 4.428 states/eV/cell. Its space-group type is No. 8. As for the total magnetization: 1.530 μB/cell.


*Q*
The following is a GGA-PBE calculation of a relaxed MnAlVFeMo crystal, from Alexandria.

Cell: 4.930 4.930 4.930 Å, 49.65 49.65 49.65°
Fractional positions:
Mn 0.000 0.000 0.000
Al 0.802 0.802 0.802
V 0.388 0.388 0.388
Fe 0.197 0.197 0.197
Mo 0.593 0.593 0.593

Summary:
The density of states at the Fermi level is 3.302 states/eV/cell. Its space-group type is No. 160. As for the total magnetization: 0.000 μB/cell.


*R*
The following is a GGA-PBE calculation of a relaxed MnAlVFeMo crystal, from Alexandria.

Cell: 4.900 4.900 4.900 Å, 50.97 50.97 50.97°
Fractional positions:
Mn 0.000 0.000 0.000
Al 0.397 0.397 0.397
V 0.813 0.813 0.813
Fe 0.192 0.192 0.192
Mo 0.613 0.613 0.613

Summary:
The density of states at the Fermi level is 3.535 states/eV/cell. Its space-group type is No. 160. As for the total magnetization: 1.380 μB/cell.


*S*
The following is a GGA-PBE calculation of a relaxed MnAlVFeMo crystal, from Alexandria.

Cell: 4.868 4.868 4.868 Å, 51.77 51.77 51.77°
Fractional positions:
Mn 0.000 0.000 0.000
Al 0.404 0.404 0.404
V 0.808 0.808 0.808
Fe 0.611 0.611 0.611
Mo 0.196 0.196 0.196

Summary:
The density of states at the Fermi level is 5.170 states/eV/cell. Its space-group type is No. 160. As for the total magnetization: 2.459 μB/cell.


Most stable structure, least stable structure: *R*, *S*.


*P*
The following is a GGA-PBE calculation of a relaxed MnAlVFeMo crystal, from Alexandria.

Cell: 4.929 4.929 4.929 Å, 50.31 50.31 50.31°
Fractional positions:
Mn 0.000 0.000 0.000
Al 0.605 0.605 0.605
V 0.385 0.385 0.385
Fe 0.802 0.802 0.802
Mo 0.187 0.187 0.187

Summary:
The density of states at the Fermi level is 4.556 states/eV/cell. Its space-group type is No. 160. As for the total magnetization: 1.319 μB/cell.


*Q*
The following is a GGA-PBE calculation of a relaxed MnAlVFeMo crystal, from Alexandria.

Cell: 4.841 4.841 6.413 Å, 130.06 130.06 35.90°
Fractional positions:
Mn 0.000 0.000 0.000
Al 0.614 0.614 0.422
V 0.424 0.424 0.638
Fe 0.213 0.213 0.822
Mo 0.799 0.799 0.208

Summary:
The density of states at the Fermi level is 3.915 states/eV/cell. Its space-group type is No. 8. As for the total magnetization: 1.149 μB/cell.


Most stable structure, least stable structure: *Q*, *P*.


*P*
The following is a GGA-PBE calculation of a relaxed AlFeMo crystal, from Alexandria.

Cell: 4.137 4.137 2.737 Å, 90.00 90.00 120.00°
Fractional positions:
Al 0.000 0.000 0.000
Fe 0.667 0.333 0.275
Mo 0.333 0.667 0.552

Summary:
The density of states at the Fermi level is 2.298 states/eV/cell. Its space-group type is No. 156. As for the total magnetization: 0.174 μB/cell.


*Q*
The following is a GGA-PBE calculation of a relaxed AlFeMo crystal, from Alexandria.

Cell: 6.421 6.300 2.657 Å, 80.52 75.40 24.08°
Fractional positions:
Al 0.000 0.000 0.000
Fe 0.654 0.654 0.346
Mo 0.323 0.323 0.677

Summary:
The density of states at the Fermi level is 2.506 states/eV/cell. Its space-group type is No. 42. As for the total magnetization: 1.971 μB/cell.


Most stable structure, least stable structure: *P*, *Q*.


*P*
The following is a GGA-PBE calculation of a relaxed AlFeMo crystal, from Alexandria.

Cell: 4.007 4.007 4.007 Å, 60.00 60.00 60.00°
Fractional positions:
Al 0.000 0.000 0.000
Fe 0.250 0.250 0.250
Mo 0.500 0.500 0.500

Summary:
The density of states at the Fermi level is 2.345 states/eV/cell. Its space-group type is No. 216. As for the total magnetization: 0.503 μB/cell.


*Q*
The following is a GGA-PBE calculation of a relaxed AlFeMo crystal, from Alexandria.

Cell: 5.256 5.256 5.256 Å, 148.38 148.38 45.32°
Fractional positions:
Al 0.000 0.000 0.000
Fe 0.649 0.649 0.000
Mo 0.309 0.309 0.000

Summary:
The density of states at the Fermi level is 2.190 states/eV/cell. Its space-group type is No. 107. As for the total magnetization: 0.000 μB/cell.


*R*
The following is a GGA-PBE calculation of a relaxed AlFeMo crystal, from Alexandria.

Cell: 7.203 7.203 2.745 Å, 90.00 90.00 120.00°
Fractional positions:
Al 0.000 0.370 0.000
Al 0.370 0.000 0.000
Al 0.630 0.630 0.000
Fe 0.000 0.000 0.000
Fe 0.333 0.667 0.500
Fe 0.667 0.333 0.500
Mo 0.000 0.701 0.500
Mo 0.299 0.299 0.500
Mo 0.701 0.000 0.500

Summary:
The density of states at the Fermi level is 9.417 states/eV/cell. Its space-group type is No. 189. As for the total magnetization: 2.133 μB/cell.


Most stable structure, least stable structure: *Q*, *P*.